[1]
A relaxed structure of PrSbP2. Source: Alexandria via LeMat-Bulk, functional PBE-GGA.

E_form (uncorrected) in eV per atom: -0.098
Electronic total energy in eV per atom: -5.028

Cell lengths 4.3490, 4.3490, 23.6528 Å; angles 90.00, 90.00, 120.00 degrees
Space group R-3m (No. 166, hexagonal axes)
Asymmetric unit:
Pr  0.0000  0.0000  0.0000 [3 per cell]
Sb  0.0000  0.0000  0.5000 [3 per cell]
P  0.0000  0.0000  0.3957 [6 per cell]

---

[2]
A relaxed structure of Pr2SbP. Source: Alexandria via LeMat-Bulk, functional PBE-GGA.

E_form (uncorrected) in eV per atom: -1.225
Electronic total energy in eV per atom: -5.998

Cell lengths 4.3149, 4.3149, 22.4031 Å; angles 90.00, 90.00, 120.00 degrees
Space group R3m (No. 160, hexagonal axes)
Asymmetric unit:
Pr  0.0000  0.0000  0.0000 [3 per cell]
Pr  0.0000  0.0000  0.1851 [3 per cell]
Sb  0.0000  0.0000  0.7598 [3 per cell]
P  0.0000  0.0000  0.5912 [3 per cell]

---

[3]
A relaxed structure of Pr3Sb2P. Source: Alexandria via LeMat-Bulk, functional PBE-GGA.

E_form (uncorrected) in eV per atom: -1.270
Electronic total energy in eV per atom: -5.935

Cell lengths 8.906, 12.569, 26.538 Å; angles 90.00, 90.00, 90.00 degrees
Space group Fddd (No. 70, origin choice 2)
Asymmetric unit:
Pr  0.106  0.375  0.375 [16 per cell]
Pr  0.117  0.367  0.212 [32 per cell]
Sb  0.125  0.125  0.377 [16 per cell]
Sb  0.125  0.125  0.544 [16 per cell]
P  0.125  0.125  0.042 [16 per cell]

---

[4]
A relaxed structure of Pr2SbP. Source: Alexandria via LeMat-Bulk, functional PBE-GGA.

E_form (uncorrected) in eV per atom: -1.144
Electronic total energy in eV per atom: -5.917

Cell lengths 4.286, 7.566, 7.601 Å; angles 90.00, 90.00, 90.00 degrees
Space group Pmmn (No. 59, origin choice 2)
Asymmetric unit:
Pr  0.250  0.006  0.228 [4 per cell]
Sb  0.250  0.250  0.579 [2 per cell]
P  0.250  0.750  0.918 [2 per cell]

---

[5]
A relaxed structure of Pr4SbP3. Source: Alexandria via LeMat-Bulk, functional PBE-GGA.

E_form (uncorrected) in eV per atom: -1.389
Electronic total energy in eV per atom: -6.322

Cell lengths 4.274, 6.089, 8.621 Å; angles 90.00, 90.00, 90.00 degrees
Space group Pmmm (No. 47)
Asymmetric unit:
Pr  0.000  0.000  0.000 [1 per cell]
Pr  0.000  0.000  0.500 [1 per cell]
Pr  0.500  0.500  0.232 [2 per cell]
Sb  0.000  0.500  0.500 [1 per cell]
P  0.000  0.500  0.000 [1 per cell]
P  0.500  0.000  0.247 [2 per cell]

---

[6]
A relaxed structure of Pr6Sb3PSe2. Source: Alexandria via LeMat-Bulk, functional PBE-GGA.

E_form (uncorrected) in eV per atom: -1.476
Electronic total energy in eV per atom: -5.928

Cell lengths 19.227, 4.402, 8.820 Å; angles 90.00, 103.30, 90.00 degrees
Space group C2/m (No. 12)
Asymmetric unit:
Pr  0.001  0.000  0.233 [4 per cell]
Pr  0.158  0.500  0.084 [4 per cell]
Pr  0.167  0.500  0.579 [4 per cell]
Sb  0.000  0.500  0.500 [2 per cell]
Sb  0.169  0.000  0.834 [4 per cell]
P  0.000  0.500  0.000 [2 per cell]
Se  0.166  0.000  0.334 [4 per cell]

---

[7]
A relaxed structure of Pr6SbP2Se3. Source: Alexandria via LeMat-Bulk, functional PBE-GGA.

E_form (uncorrected) in eV per atom: -1.672
Electronic total energy in eV per atom: -6.178

Cell lengths 18.791, 4.281, 8.654 Å; angles 90.00, 103.52, 90.00 degrees
Space group C2/m (No. 12)
Asymmetric unit:
Pr  0.008  0.000  0.262 [4 per cell]
Pr  0.172  0.500  0.104 [4 per cell]
Pr  0.172  0.500  0.574 [4 per cell]
Sb  0.000  0.500  0.000 [2 per cell]
P  0.168  0.000  0.336 [4 per cell]
Se  0.000  0.500  0.500 [2 per cell]
Se  0.163  0.000  0.833 [4 per cell]

---

[8]
A relaxed structure of Pr6Sb3P2Se. Source: Alexandria via LeMat-Bulk, functional PBE-GGA.

E_form (uncorrected) in eV per atom: -1.412
Electronic total energy in eV per atom: -6.025

Cell lengths 19.170, 4.375, 8.824 Å; angles 90.00, 103.65, 90.00 degrees
Space group C2/m (No. 12)
Asymmetric unit:
Pr  0.007  0.000  0.249 [4 per cell]
Pr  0.167  0.500  0.100 [4 per cell]
Pr  0.172  0.500  0.571 [4 per cell]
Sb  0.000  0.500  0.500 [2 per cell]
Sb  0.164  0.000  0.833 [4 per cell]
P  0.167  0.000  0.333 [4 per cell]
Se  0.000  0.500  0.000 [2 per cell]

---

[9]
A relaxed structure of Pr6Sb2PSe3. Source: Alexandria via LeMat-Bulk, functional PBE-GGA.

E_form (uncorrected) in eV per atom: -1.592
Electronic total energy in eV per atom: -5.991

Cell lengths 19.039, 4.349, 8.752 Å; angles 90.00, 103.01, 90.00 degrees
Space group C2/m (No. 12)
Asymmetric unit:
Pr  0.002  0.000  0.270 [4 per cell]
Pr  0.158  0.500  0.572 [4 per cell]
Pr  0.162  0.500  0.090 [4 per cell]
Sb  0.167  0.000  0.834 [4 per cell]
P  0.000  0.500  0.500 [2 per cell]
Se  0.000  0.500  0.000 [2 per cell]
Se  0.169  0.000  0.336 [4 per cell]

---

[10]
A relaxed structure of Pr4SbTe2P. Source: Alexandria via LeMat-Bulk, functional PBE-GGA.

E_form (uncorrected) in eV per atom: -1.443
Electronic total energy in eV per atom: -5.810

Cell lengths 7.708, 4.419, 7.831 Å; angles 90.00, 108.98, 90.00 degrees
Space group P2/m (No. 10)
Asymmetric unit:
Pr  0.226  0.000  0.220 [2 per cell]
Pr  0.240  0.500  0.771 [2 per cell]
Sb  0.500  0.000  0.000 [1 per cell]
Te  0.000  0.000  0.500 [1 per cell]
Te  0.500  0.500  0.500 [1 per cell]
P  0.000  0.500  0.000 [1 per cell]

---

[11]
A relaxed structure of Pr6Sb2TeP3. Source: Alexandria via LeMat-Bulk, functional PBE-GGA.

E_form (uncorrected) in eV per atom: -1.417
Electronic total energy in eV per atom: -6.109

Cell lengths 19.151, 4.341, 8.821 Å; angles 90.00, 104.40, 90.00 degrees
Space group C2/m (No. 12)
Asymmetric unit:
Pr  0.005  0.000  0.232 [4 per cell]
Pr  0.162  0.500  0.095 [4 per cell]
Pr  0.173  0.500  0.571 [4 per cell]
Sb  0.166  0.000  0.832 [4 per cell]
Te  0.000  0.500  0.500 [2 per cell]
P  0.000  0.500  0.000 [2 per cell]
P  0.166  0.000  0.334 [4 per cell]